*one*
A plane-wave DFT calculation with meta-GGA SCAN was carried out for a crystal of CuMoSe2 relaxed with PBEsol.

Output
**Calculated volume**: 77.86 Å³/f.u.
**Total magnetic moment**: 0.00 μB per atom
**Space group**: P-4m2 (115)

Unit cell a=3.7457 b=3.7457 c=5.5495 alpha=90.00 beta=90.00 gamma=90.00
Closest atoms and distances in Å follow each position.
Element x y z (fractional)
Cu 0.0000 0.0000 0.0000  4 Se 2.47, 4 Mo 2.65
Mo 0.5000 0.5000 0.0000  4 Se 2.47, 4 Cu 2.65
Se 0.0000 0.5000 0.2906  2 Mo 2.47, 2 Cu 2.47
Se 0.5000 0.0000 0.7094  2 Mo 2.47, 2 Cu 2.47

*two*
A plane-wave DFT calculation with meta-GGA SCAN was carried out for a crystal of CuMoSe2 relaxed with PBEsol.

Output
**Calculated volume**: 61.32 Å³/f.u.
**Total magnetic moment**: 0.00 μB per atom
**Space group**: P4/mmm (123)

Unit cell a=3.1301 b=3.1301 c=6.2589 alpha=90.00 beta=90.00 gamma=90.00
Closest atoms and distances in Å follow each position.
Element x y z (fractional)
Cu 0.0000 0.0000 0.0000  8 Se 2.75
Mo 0.0000 0.0000 0.5000  8 Se 2.68
Se 0.5000 0.5000 0.2599  4 Mo 2.68, 4 Cu 2.75
Se 0.5000 0.5000 0.7401  4 Mo 2.68, 4 Cu 2.75

*three*
A plane-wave DFT calculation with meta-GGA SCAN was carried out for a crystal of CuMoSe2 relaxed with PBEsol.

Output
**Calculated volume**: 72.23 Å³/f.u.
**Total magnetic moment**: 0.00 μB per atom
**Space group**: Imm2 (44)

Unit cell a=6.8301 b=6.8301 c=6.8301 alpha=152.34 beta=150.70 gamma=40.73
Closest atoms and distances in Å follow each position.
Element x y z (fractional)
Cu 0.0000 0.0000 0.0000  4 Se 2.38, 2 Mo 2.62
Mo 0.3461 0.8461 0.5000  6 Se 2.60-2.65, 2 Cu 2.62
Se 0.5042 0.5042 0.0000  4 Cu 2.38, 2 Mo 2.60
Se 0.7554 0.2554 0.5000  4 Mo 2.65

Most stable of them? *one*.